## SrCoP2O8 (PBE+U)

Data for an optimized crystal structure of SrCoP2O8.

Magnetization ... 2.95 μB/f.u.
DOS(E_F) ... 0.06 states/eV per atom
Symmetry ... No. 2
Electronic total energy ... -162.9 eV for the cell shown

Structure (extended XYZ):
```
24
Lattice="6.135 0.000 0.000 -1.502 7.007 0.000 -2.065 -3.404 7.858" Properties=species:S:1:pos:R:3 pbc="T T T"
Sr 0.216 0.028 3.459
Sr 2.352 3.575 4.399
Co -0.049 5.574 0.320
Co 2.616 -1.971 7.538
P -0.831 3.200 2.190
P 0.426 -2.505 6.315
P 2.141 6.108 1.543
P 3.398 0.403 5.668
O -0.490 2.458 0.823
O -1.383 0.805 5.143
O -0.801 4.753 1.870
O -2.228 3.575 6.825
O 0.024 -2.014 4.946
O 0.345 2.787 3.084
O 2.237 -0.157 1.548
O 1.759 4.998 0.487
O 0.808 -1.395 7.371
O 0.330 3.760 6.310
O 2.223 0.816 4.774
O 2.543 5.617 2.912
O 4.795 0.028 1.033
O 3.368 -1.150 5.988
O 3.950 2.798 2.715
O 3.058 1.145 7.035
```